# 1
# Ca10Si3Pt7

A relaxed Ca10Si3Pt7 crystal (PBE-GGA, Alexandria via LeMat-Bulk).

Space group: P6_3/mcm (193)
E_tot (eV per cell): -194.51

abc: 8.806 8.806 13.906
angles: 90.00 90.00 120.00
Positions (direct):
Ca1 0.000 0.741 0.893
Ca2 0.259 0.259 0.893
Ca3 0.741 0.000 0.893
Ca4 0.000 0.259 0.107
Ca5 0.741 0.741 0.107
Ca6 0.259 0.000 0.107
Ca7 0.000 0.259 0.393
Ca8 0.741 0.741 0.393
Ca9 0.259 0.000 0.393
Ca10 0.000 0.741 0.607
Ca11 0.259 0.259 0.607
Ca12 0.741 0.000 0.607
Ca13 0.667 0.333 0.000
Ca14 0.333 0.667 0.000
Ca15 0.333 0.667 0.500
Ca16 0.667 0.333 0.500
Ca17 0.333 0.667 0.750
Ca18 0.667 0.333 0.750
Ca19 0.667 0.333 0.250
Ca20 0.333 0.667 0.250
Si1 0.000 0.284 0.750
Si2 0.716 0.716 0.750
Si3 0.284 0.000 0.750
Si4 0.000 0.716 0.250
Si5 0.284 0.284 0.250
Si6 0.716 0.000 0.250
Pt1 0.000 0.000 0.750
Pt2 0.000 0.000 0.250
Pt3 0.000 0.407 0.902
Pt4 0.593 0.593 0.902
Pt5 0.407 0.000 0.902
Pt6 0.000 0.593 0.098
Pt7 0.407 0.407 0.098
Pt8 0.593 0.000 0.098
Pt9 0.000 0.593 0.402
Pt10 0.407 0.407 0.402
Pt11 0.593 0.000 0.402
Pt12 0.000 0.407 0.598
Pt13 0.593 0.593 0.598
Pt14 0.407 0.000 0.598


# 2
# Ca2SiPt

A relaxed Ca2SiPt crystal (PBE-GGA, Alexandria via LeMat-Bulk).

Space group: R3m (160)
E_tot (eV per cell): -18.58

abc: 4.198 4.198 7.868
angles: 74.55 74.56 60.02
Positions (direct):
Ca1 0.888 0.651 0.574
Ca2 0.717 0.480 0.085
Si1 0.135 0.898 0.831
Pt1 0.470 0.233 0.828


# 3
# Ca2Si3Pt5

A relaxed Ca2Si3Pt5 crystal (PBE-GGA, Alexandria via LeMat-Bulk).

Space group: Cmc2_1 (36)
E_tot (eV per cell): -117.55

abc: 4.048 6.653 13.158
angles: 90.00 98.85 90.00
Positions (direct):
Ca1 0.480 0.783 0.961
Ca2 0.175 0.755 0.350
Ca3 0.825 0.255 0.650
Ca4 0.520 0.283 0.039
Si1 0.787 0.683 0.574
Si2 0.609 0.528 0.218
Si3 0.047 0.985 0.094
Si4 0.213 0.183 0.426
Si5 0.953 0.485 0.906
Si6 0.391 0.028 0.782
Pt1 0.408 0.407 0.816
Pt2 0.262 0.498 0.524
Pt3 0.738 0.998 0.476
Pt4 0.117 0.236 0.233
Pt5 0.309 0.881 0.618
Pt6 0.943 0.110 0.886
Pt7 0.691 0.381 0.382
Pt8 0.883 0.736 0.767
Pt9 0.057 0.610 0.114
Pt10 0.592 0.907 0.184


# 4
# CaSi3Pt

A relaxed CaSi3Pt crystal (PBE-GGA, Alexandria via LeMat-Bulk).

Space group: I4mm (107)
E_tot (eV per cell): -27.58

abc: 4.243 4.243 5.797
angles: 111.49 111.49 90.00
Positions (direct):
Ca1 0.999 0.999 0.999
Si1 0.757 0.258 0.516
Si2 0.258 0.757 0.516
Si3 0.400 0.400 0.800
Pt1 0.640 0.640 0.280


# 5
# Ca2SiPt

A relaxed Ca2SiPt crystal (PBE-GGA, Alexandria via LeMat-Bulk).

Space group: R-3m (166)
E_tot (eV per cell): -16.74

abc: 8.360 8.360 8.360
angles: 26.54 26.54 26.54
Positions (direct):
Ca1 0.992 0.992 0.992
Ca2 0.508 0.508 0.508
Pt1 0.250 0.250 0.250
Si1 0.750 0.750 0.750


# 6
# Ca2SiPt

A relaxed Ca2SiPt crystal (PBE-GGA, Alexandria via LeMat-Bulk).

Space group: P2/m (10)
E_tot (eV per cell): -17.67

abc: 3.320 3.341 8.595
angles: 67.06 90.00 90.00
Positions (direct):
Ca1 0.000 0.986 0.014
Ca2 0.000 0.514 0.486
Pt1 0.500 0.250 0.250
Si1 0.500 0.750 0.750


# 7
# CaSi2Pt5

A relaxed CaSi2Pt5 crystal (PBE-GGA, Alexandria via LeMat-Bulk).

Space group: Immm (71)
E_tot (eV per cell): -49.80

abc: 3.909 6.373 6.373
angles: 66.64 72.14 72.14
Positions (direct):
Ca1 0.000 0.000 0.000
Si1 0.757 0.743 0.743
Si2 0.243 0.257 0.257
Pt1 0.000 0.500 0.500
Pt2 0.649 0.553 0.149
Pt3 0.351 0.447 0.851
Pt4 0.351 0.851 0.447
Pt5 0.649 0.149 0.553


# 8
# Ca3Si2Pt2

A relaxed Ca3Si2Pt2 crystal (PBE-GGA, Alexandria via LeMat-Bulk).

Space group: Pbcm (57)
E_tot (eV per cell): -141.21

abc: 5.729 8.026 13.210
angles: 90.00 90.00 90.00
Positions (direct):
Ca1 0.130 0.617 0.105
Ca2 0.870 0.383 0.605
Ca3 0.870 0.117 0.395
Ca4 0.130 0.883 0.895
Ca5 0.870 0.383 0.895
Ca6 0.130 0.617 0.395
Ca7 0.130 0.883 0.605
Ca8 0.870 0.117 0.105
Ca9 0.359 0.262 0.250
Ca10 0.641 0.738 0.750
Ca11 0.641 0.762 0.250
Ca12 0.359 0.238 0.750
Si1 0.405 0.250 0.000
Si2 0.595 0.750 0.500
Si3 0.595 0.750 0.000
Si4 0.405 0.250 0.500
Si5 0.838 0.411 0.250
Si6 0.162 0.589 0.750
Si7 0.162 0.911 0.250
Si8 0.838 0.089 0.750
Pt1 0.632 0.476 0.089
Pt2 0.368 0.524 0.589
Pt3 0.368 0.976 0.411
Pt4 0.632 0.024 0.911
Pt5 0.368 0.524 0.911
Pt6 0.632 0.476 0.411
Pt7 0.632 0.024 0.589
Pt8 0.368 0.976 0.089


# 9
# Ca2SmSi3Pt12

A relaxed Ca2SmSi3Pt12 crystal (PBE-GGA, Alexandria via LeMat-Bulk).

Space group: R-3m (166)
E_tot (eV per cell): -106.93

abc: 6.874 6.874 6.874
angles: 84.06 84.06 84.06
Positions (direct):
Ca1 0.619 0.619 0.619
Ca2 0.381 0.381 0.381
Sm1 0.000 0.000 0.000
Si1 0.500 0.000 0.000
Si2 0.000 0.500 0.000
Si3 0.000 0.000 0.500
Pt1 0.365 0.365 0.924
Pt2 0.816 0.816 0.334
Pt3 0.334 0.816 0.816
Pt4 0.924 0.365 0.365
Pt5 0.816 0.334 0.816
Pt6 0.365 0.924 0.365
Pt7 0.635 0.635 0.076
Pt8 0.184 0.184 0.666
Pt9 0.666 0.184 0.184
Pt10 0.076 0.635 0.635
Pt11 0.184 0.666 0.184
Pt12 0.635 0.076 0.635


# 10
# Ca2SmSi3Pt4

A relaxed Ca2SmSi3Pt4 crystal (PBE-GGA, Alexandria via LeMat-Bulk).

Space group: P-4m2 (115)
E_tot (eV per cell): -58.48

abc: 4.301 4.301 10.773
angles: 90.00 90.00 90.00
Positions (direct):
Ca1 0.500 0.000 0.227
Ca2 0.000 0.500 0.773
Sm1 0.500 0.500 0.500
Si1 0.000 0.000 0.500
Si2 0.500 0.000 0.886
Si3 0.000 0.500 0.114
Pt1 0.500 0.500 0.000
Pt2 0.000 0.000 0.000
Pt3 0.500 0.000 0.669
Pt4 0.000 0.500 0.331


# 11
# CaSmSi2Pt5

A relaxed CaSmSi2Pt5 crystal (PBE-GGA, Alexandria via LeMat-Bulk).

Space group: P4/mmm (123)
E_tot (eV per cell): -56.87

abc: 4.190 4.190 9.124
angles: 90.00 90.00 90.00
Positions (direct):
Ca1 0.000 0.000 0.000
Sm1 0.000 0.000 0.500
Si1 0.500 0.500 0.132
Si2 0.500 0.500 0.868
Pt1 0.000 0.500 0.264
Pt2 0.500 0.000 0.264
Pt3 0.000 0.500 0.736
Pt4 0.500 0.000 0.736
Pt5 0.500 0.500 0.500


# 12
# CaSi2SnPt

A relaxed CaSi2SnPt crystal (PBE-GGA, Alexandria via LeMat-Bulk).

Space group: P4/mmm (123)
E_tot (eV per cell): -17.17

abc: 5.229 5.051 5.229
angles: 90.00 90.00 90.00
Positions (direct):
Ca1 0.000 0.000 0.000
Si1 0.000 0.000 0.500
Si2 0.500 0.000 0.000
Sn1 0.500 0.500 0.500
Pt1 0.000 0.500 0.000


Question: The highest E_tot belongs to which entry?
Answer: number 5


What did the ninth record say?
# Ca2SmSi3Pt12

A relaxed Ca2SmSi3Pt12 crystal (PBE-GGA, Alexandria via LeMat-Bulk).

Space group: R-3m (166)
E_tot (eV per cell): -106.93

abc: 6.874 6.874 6.874
angles: 84.06 84.06 84.06
Positions (direct):
Ca1 0.619 0.619 0.619
Ca2 0.381 0.381 0.381
Sm1 0.000 0.000 0.000
Si1 0.500 0.000 0.000
Si2 0.000 0.500 0.000
Si3 0.000 0.000 0.500
Pt1 0.365 0.365 0.924
Pt2 0.816 0.816 0.334
Pt3 0.334 0.816 0.816
Pt4 0.924 0.365 0.365
Pt5 0.816 0.334 0.816
Pt6 0.365 0.924 0.365
Pt7 0.635 0.635 0.076
Pt8 0.184 0.184 0.666
Pt9 0.666 0.184 0.184
Pt10 0.076 0.635 0.635
Pt11 0.184 0.666 0.184
Pt12 0.635 0.076 0.635